No. 1
Dy4F: optimized geometry, PBE.

Calculated volume ... 127 Å³/cell
Energy ... -24.90 eV for the cell shown
Total magnetization ... 0.0 μB per formula unit
SG ... Pm-3m

Cell and atoms, written as extended XYZ:
```
5
Lattice="5.030 0.000 0.000 0.000 5.030 0.000 0.000 0.000 5.030" Properties=species:S:1:pos:R:3 pbc="T T T"
Dy 0.000 0.000 0.000
Dy 0.000 2.515 2.515
Dy 2.515 0.000 2.515
Dy 2.515 2.515 0.000
F 2.515 2.515 2.515
```



No. 2
DyF3: optimized geometry, PBE.

Calculated volume ... 202 Å³/cell
Energy ... -107.29 eV for the cell shown
Total magnetization ... 0.0 μB per formula unit
SG ... Pnma

Cell and atoms, written as extended XYZ:
```
16
Lattice="6.269 0.000 0.000 0.000 6.918 0.000 0.000 0.000 4.657" Properties=species:S:1:pos:R:3 pbc="T T T"
Dy 0.842 1.730 0.210
Dy 2.293 5.189 2.539
Dy 3.976 1.730 2.118
Dy 5.427 5.189 4.446
F 0.194 5.189 1.783
F 1.017 3.896 3.988
F 1.017 6.481 3.988
F 2.117 0.437 1.660
F 2.117 3.022 1.660
F 2.941 1.730 4.111
F 3.328 5.189 0.546
F 4.151 3.896 2.997
F 4.151 6.481 2.997
F 5.252 0.437 0.669
F 5.252 3.022 0.669
F 6.075 1.730 2.874
```



No. 3
Dy2F5: optimized geometry, PBE.

Calculated volume ... 194 Å³/cell
Energy ... -89.04 eV for the cell shown
Total magnetization ... 0.8 μB per formula unit
SG ... C2/c

Cell and atoms, written as extended XYZ:
```
14
Lattice="6.147 -2.484 0.000 6.147 2.484 0.000 -1.316 0.000 6.368" Properties=species:S:1:pos:R:3 pbc="T T T"
Dy 3.634 1.408 5.733
Dy 6.686 1.408 3.819
Dy 4.292 -1.408 2.549
Dy 7.344 -1.408 0.635
F 5.818 1.986 1.592
F 1.500 0.331 5.438
F 2.158 -0.331 2.253
F 4.424 0.564 3.726
F 5.895 0.564 5.826
F 5.082 -0.564 0.542
F 6.553 -0.564 2.642
F 8.819 0.331 4.115
F 9.477 -0.331 0.931
F 5.160 -1.986 4.776
```



How do the records compare in formation energy from raw total energies? In the order shown, they have -4.62; -16.61; -25.96 eV/f.u..
How do the records compare in Fermi-level density of states? In the order shown, they have 5.2; 0.0; 2.7 states/eV/cell.